A plane-wave DFT calculation with GGA-PBE was carried out for a relaxed YZr2BeTl crystal. Values from VASP.

```
&SYSTEM
  ibrav = 0, nat = 5, ntyp = 4
/
ATOMIC_SPECIES
Y 88.91 Y.upf
Zr 91.22 Zr.upf
Be 9.01 Be.upf
Tl 204.38 Tl.upf
ATOMIC_POSITIONS crystal
Y 0.000 0.000 0.000
Zr 0.000 0.500 0.500
Zr 0.500 0.000 0.500
Be 0.500 0.500 0.000
Tl 0.500 0.500 0.500
CELL_PARAMETERS angstrom
5.514 0.000 0.000
0.000 5.514 0.000
0.000 0.000 4.445
```

Values from the calculation:
- Calculated volume: 135 Å³/f.u.
- DFT formation energy: 0.8882 eV per atom

---

A plane-wave DFT calculation with GGA-PBE was carried out for a relaxed BeTl2Zn crystal. Values from VASP.

```
&SYSTEM
  ibrav = 0, nat = 4, ntyp = 3
/
ATOMIC_SPECIES
Be 9.01 Be.upf
Tl 204.38 Tl.upf
Zn 65.41 Zn.upf
ATOMIC_POSITIONS crystal
Be 0.000 0.000 0.000
Tl 0.500 0.000 0.500
Tl 0.500 0.500 0.000
Zn 0.000 0.500 0.500
CELL_PARAMETERS angstrom
3.808 0.000 0.000
0.000 4.232 0.000
0.000 0.000 5.423
```

Values from the calculation:
- Polymorph energy (0 for the lowest one): 0.87 eV/f.u.
- Calculated volume: 87 Å³/f.u.
- DFT formation energy: 0.5594 eV per atom

---

A plane-wave DFT calculation with GGA-PBE was carried out for a relaxed BeTlZn4 crystal. Values from VASP.

```
&SYSTEM
  ibrav = 0, nat = 6, ntyp = 3
/
ATOMIC_SPECIES
Be 9.01 Be.upf
Tl 204.38 Tl.upf
Zn 65.41 Zn.upf
ATOMIC_POSITIONS crystal
Be 0.000 0.000 0.000
Tl 0.750 0.750 0.750
Zn 0.374 0.374 0.374
Zn 0.374 0.374 0.879
Zn 0.374 0.879 0.374
Zn 0.879 0.374 0.374
CELL_PARAMETERS angstrom
0.000 3.717 3.717
3.717 0.000 3.717
3.717 3.717 0.000
```

Values from the calculation:
- Calculated volume: 103 Å³/f.u.
- DFT formation energy: 0.3690 eV per atom

---

A plane-wave DFT calculation with GGA-PBE was carried out for a relaxed BeTlZn2 crystal. Values from VASP.

```
&SYSTEM
  ibrav = 0, nat = 4, ntyp = 3
/
ATOMIC_SPECIES
Be 9.01 Be.upf
Tl 204.38 Tl.upf
Zn 65.41 Zn.upf
ATOMIC_POSITIONS crystal
Be 0.000 0.000 0.000
Tl 0.500 0.500 0.325
Zn 0.000 0.000 0.645
Zn 0.500 0.500 0.882
CELL_PARAMETERS angstrom
2.880 0.000 0.000
0.000 3.658 0.000
0.000 0.000 6.841
```

Values from the calculation:
- Polymorph energy (0 for the lowest one): 0.44 eV/f.u.
- Calculated volume: 72 Å³/f.u.
- DFT formation energy: 0.3770 eV per atom

---

A plane-wave DFT calculation with GGA-PBE was carried out for a relaxed BeTlZn2 crystal. Values from VASP.

```
&SYSTEM
  ibrav = 0, nat = 4, ntyp = 3
/
ATOMIC_SPECIES
Be 9.01 Be.upf
Tl 204.38 Tl.upf
Zn 65.41 Zn.upf
ATOMIC_POSITIONS crystal
Be 0.000 0.000 0.000
Tl 0.745 0.245 0.500
Zn 0.208 0.708 0.500
Zn 0.455 0.455 0.000
CELL_PARAMETERS angstrom
-1.477 2.781 4.393
1.477 -2.781 4.393
1.477 2.781 -4.393
```

Values from the calculation:
- Polymorph energy (0 for the lowest one): 0.78 eV/f.u.
- Calculated volume: 72 Å³/f.u.
- DFT formation energy: 0.4606 eV per atom

---

A plane-wave DFT calculation with GGA-PBE was carried out for a relaxed BeTlZn2 crystal. Values from VASP.

```
&SYSTEM
  ibrav = 0, nat = 4, ntyp = 3
/
ATOMIC_SPECIES
Be 9.01 Be.upf
Tl 204.38 Tl.upf
Zn 65.41 Zn.upf
ATOMIC_POSITIONS crystal
Be 0.000 0.000 0.000
Tl 0.250 0.750 0.500
Zn 0.500 0.500 0.000
Zn 0.750 0.250 0.500
CELL_PARAMETERS angstrom
-2.053 2.053 4.038
2.053 -2.053 4.038
2.053 2.053 -4.038
```

Values from the calculation:
- Polymorph energy (0 for the lowest one): 0.83 eV/f.u.
- Calculated volume: 68 Å³/f.u.
- DFT formation energy: 0.4740 eV per atom

---

Per-record theoretical density, Mg/m³: 5.95; 9.18; 7.68; 7.93; 7.92; 8.40
Per-record M_tot, μB/cell: 2.2; 0.0; 0.0; 0.0; 0.0; 0.0